A plane-wave DFT calculation with GGA-PBE was carried out for a relaxed structure of Ac2CrGe4Pt3.

## Properties
For the uncorrected energy, the calculation gives -62.45 eV per cell. As for the energy of formation from the pure elements: -8.022 eV per formula unit. For the density of states at the Fermi level, the calculation gives 0.5091 states/eV per atom.

a b c (Å): 4.378 4.378 10.699
angles (deg): 90.00 90.00 90.00
Atoms (fractional coordinates):
Ge  0.500  0.000  0.630
Pt  0.500  0.000  0.873
Ge  0.000  0.500  0.370
Cr  0.500  0.500  0.500
Ge  0.500  0.500  0.000
Ac  0.000  0.500  0.754
Pt  0.000  0.000  0.500
Ac  0.500  0.000  0.246
Ge  0.000  0.000  0.000
Pt  0.000  0.500  0.127